Density functional theory data (GGA-PBE) for crystalline Ba2TcIr at its relaxed geometry.

```
Ba2TcIr
1.0
-2.6622 2.6622 3.7406
2.6622 -2.6622 3.7406
2.6622 2.6622 -3.7406
Ba Tc Ir
2 1 1
Direct
0.0000 0.0000 0.0000 Ba
0.7500 0.2500 0.5000 Ba
0.2500 0.7500 0.5000 Tc
0.5000 0.5000 0.0000 Ir
```

## Properties
Energy relative to the lowest polymorph listed for this composition = 3.44 eV per formula unit

***

Density functional theory data (GGA-PBE) for crystalline BaYTc2Ir at its relaxed geometry.

```
BaYTc2Ir
1.0
4.9495 0.0000 0.0000
0.0000 4.9495 0.0000
0.0000 0.0000 5.2382
Ba Y Tc Ir
1 1 2 1
Direct
0.0000 0.0000 0.0000 Ba
0.5000 0.5000 0.0000 Y
0.0000 0.5000 0.5000 Tc
0.5000 0.0000 0.5000 Tc
0.5000 0.5000 0.5000 Ir
```

***

no.,E (eV/f.u.),mass density (g/cm3),calculated formation energy (kJ/mol of atoms)
1,-19.304,8.85,90.9
2,-34.487,7.95,67.4